NaAlRe2P: relaxed, PBE.

Cell: 4.6585 4.6585 4.3557 Å, 90.00 90.00 90.00°
With the nearest neighbours (Å) after each atom.
Space group P4/mmm (No. 123)
Inequivalent atoms, fractional coordinates:
Na1 0.0000 0.0000 0.0000  2 Al 2.18, 4 Re 2.33
Al1 0.0000 0.0000 0.5000  2 Na 2.18
Re1 0.0000 0.5000 0.0000  2 Na 2.33
P1 0.5000 0.5000 0.5000  8 Re 3.19, 4 Al 3.29

Output
Mass density, g/cm3: 8.0
ΔE_f, meV/atom: 2766.2

=====

NaAl2PRu: relaxed, PBE.

Cell: 4.7693 4.7693 4.5171 Å, 90.00 90.00 90.00°
With the nearest neighbours (Å) after each atom.
Space group P4/mmm (No. 123)
Inequivalent atoms, fractional coordinates:
Na1 0.0000 0.0000 0.0000  2 P 2.26, 4 Al 2.38
Al1 0.0000 0.5000 0.0000  2 Na 2.38
P1 0.0000 0.0000 0.5000  2 Na 2.26
Ru1 0.5000 0.5000 0.5000  8 Al 3.28, 4 P 3.37

Output
Mass density, g/cm3: 3.4
ΔE_f, meV/atom: 1658.4

=====

Na2AlPS4: relaxed, PBE.

Cell: 6.4300 6.4300 9.2954 Å, 90.00 90.00 90.00°
With the nearest neighbours (Å) after each atom.
Space group I-4 (No. 82)
Inequivalent atoms, fractional coordinates:
Na1 0.0000 0.0000 0.0000  4 S 2.87
Na2 0.0000 0.5000 0.2500  4 S 2.77
Al1 0.0000 0.0000 0.5000  4 S 2.27
P1 0.0000 0.5000 0.7500  4 S 2.38
S1 0.1888 0.2376 0.6256  1 Al 2.27, 1 P 2.38

Output
Mass density, g/cm3: 2.0
Raw formation energy, eV per atom: -0.70

=====

NaAlP2S: relaxed, PBE.

Cell: 4.9043 4.9043 4.7677 Å, 90.00 90.00 90.00°
With the nearest neighbours (Å) after each atom.
Space group P4/mmm (No. 123)
Inequivalent atoms, fractional coordinates:
Na1 0.0000 0.0000 0.0000  2 S 2.38, 4 P 2.45
Al1 0.5000 0.5000 0.5000  8 P 3.42, 4 S 3.47
P1 0.0000 0.5000 0.0000  2 Na 2.45
S1 0.0000 0.0000 0.5000  2 Na 2.38

Output
Mass density, g/cm3: 2.1
Raw formation energy, eV per atom: 1.25

=====

Na2Al2P2S: relaxed, PBE.

Cell: 13.2066 3.8509 7.0581 Å, 90.00 121.61 90.00°
With the nearest neighbours (Å) after each atom.
Space group C2/m (No. 12)
Inequivalent atoms, fractional coordinates:
Na1 0.0869 0.0000 0.3489  2 S 2.85, 3 P 3.01-3.18
Al1 0.1905 0.5000 0.0654  1 S 2.31, 3 P 2.39-2.40
P1 0.1982 0.5000 0.7332  3 Al 2.39-2.40
S1 0.0000 0.5000 0.0000  2 Al 2.31

Output
Mass density, g/cm3: 2.1
Raw formation energy, eV per atom: -0.74

=====

NaAlP2S: relaxed, PBE.

Cell: 4.6911 4.6911 4.8662 Å, 90.00 90.00 90.00°
With the nearest neighbours (Å) after each atom.
Space group P4/mmm (No. 123)
Inequivalent atoms, fractional coordinates:
Na1 0.0000 0.0000 0.0000  4 S 3.32, 8 P 3.38
Al1 0.5000 0.5000 0.5000  4 P 2.35, 2 S 2.43
P1 0.0000 0.5000 0.5000  2 Al 2.35
S1 0.5000 0.5000 0.0000  2 Al 2.43

Output
Mass density, g/cm3: 2.2
Raw formation energy, eV per atom: 0.15

=====

NaAlPSe4: relaxed, PBE.

Cell: 6.5949 6.5949 9.0326 Å, 90.00 90.00 90.00°
With the nearest neighbours (Å) after each atom.
Space group I-4 (No. 82)
Inequivalent atoms, fractional coordinates:
Na1 0.0000 0.0000 0.0000  4 Se 2.93
Al1 0.0000 0.0000 0.5000  4 Se 2.41
P1 0.0000 0.5000 0.2500  4 Se 2.39
Se1 0.1996 0.2369 0.3577  1 P 2.39, 1 Al 2.41

Output
Mass density, g/cm3: 3.4
Raw formation energy, eV per atom: -0.49

=====

NaSrAlP2: relaxed, PBE.

Cell: 15.4613 4.1162 10.4437 Å, 90.00 130.57 90.00°
With the nearest neighbours (Å) after each atom.
Space group C2/m (No. 12)
Inequivalent atoms, fractional coordinates:
Na1 0.1476 0.0000 0.3956  4 P 2.73-2.97
Sr1 0.2134 0.5000 0.1335  5 P 2.99-3.07
Al1 0.0423 0.5000 0.6763  4 P 2.42-2.51
P1 0.0842 0.0000 0.8458  2 Al 2.51, 1 Na 2.73
P2 0.1526 0.5000 0.5863  2 Al 2.42-2.43

Output
Mass density, g/cm3: 2.6
ΔE_f, meV/atom: -729.1

=====

Na3Sr3AlP4: relaxed, PBE.

Cell: 9.4303 9.4303 7.4011 Å, 90.00 90.00 120.00°
With the nearest neighbours (Å) after each atom.
Space group P6_3mc (No. 186)
Inequivalent atoms, fractional coordinates:
Na1 0.1344 0.2689 0.0000  3 P 2.90-3.02
Sr1 0.0486 0.5243 0.3304  5 P 3.12-3.24, 1 Al 3.25, 2 Na 3.42
Al1 0.3333 0.6667 0.7076  4 P 2.42-2.48
P1 0.1918 0.3836 0.6116  1 Al 2.42
P2 0.3333 0.6667 0.0424  1 Al 2.48

Output
Mass density, g/cm3: 2.8
ΔE_f, meV/atom: -830.7

=====

NaSr2AlP: relaxed, PBE.

Cell: 5.9430 5.9430 4.8276 Å, 90.00 90.00 90.00°
With the nearest neighbours (Å) after each atom.
Space group P4/mmm (No. 123)
Inequivalent atoms, fractional coordinates:
Na1 0.0000 0.0000 0.0000  8 Sr 3.83, 4 Al 4.20
Sr1 0.0000 0.5000 0.5000  2 P 2.97
Al1 0.5000 0.5000 0.0000  2 P 2.41
P1 0.5000 0.5000 0.5000  2 Al 2.41

Output
Mass density, g/cm3: 2.5
ΔE_f, meV/atom: -256.8

=====

NaSr2AlP3: relaxed, PBE.

Cell: 13.4839 9.0971 11.5711 Å, 90.00 106.87 90.00°
With the nearest neighbours (Å) after each atom.
Space group C2/m (No. 12)
Inequivalent atoms, fractional coordinates:
Na1 0.0000 0.1965 0.0000  4 P 2.89-3.19, 2 Al 3.16
Na2 0.1460 0.0000 0.2349  3 P 2.74-3.05
Sr1 0.0298 0.2782 0.6859  6 P 3.10-3.46, 1 Al 3.33
Sr2 0.2500 0.2500 0.0000  6 P 3.05-3.22, 2 Na 3.41
Sr3 0.2500 0.2500 0.5000  6 P 3.04-3.20
Al1 0.0907 0.5000 0.1174  4 P 2.37-2.45
Al2 0.1969 0.0000 0.7322  4 P 2.37-2.55
P1 0.0867 0.0000 0.5119  1 P 2.27
P2 0.0874 0.5000 0.5128  1 P 2.29
P3 0.0897 0.0000 0.8621  1 Al 2.37
P4 0.0897 0.5000 0.9054  2 Al 2.37-2.45
P5 0.1839 0.2956 0.2284  2 Al 2.40-2.41

Output
Mass density, g/cm3: 3.1
ΔE_f, meV/atom: -887.3

=====

Na2AlTeP: relaxed, PBE.

Cell: 5.1889 5.1889 5.6273 Å, 90.00 90.00 90.00°
With the nearest neighbours (Å) after each atom.
Space group P4/mmm (No. 123)
Inequivalent atoms, fractional coordinates:
Na1 0.0000 0.5000 0.0000  2 P 2.59
Al1 0.0000 0.0000 0.5000  4 Te 3.67, 8 Na 3.83
Te1 0.5000 0.5000 0.5000  2 P 2.81
P1 0.5000 0.5000 0.0000  4 Na 2.59, 2 Te 2.81

Output
Mass density, g/cm3: 2.5
Raw formation energy, eV per atom: 0.19

=====

NaYAl2P: relaxed, PBE.

Cell: 4.8301 4.8301 4.9942 Å, 90.00 90.00 90.00°
With the nearest neighbours (Å) after each atom.
Space group P4/mmm (No. 123)
Inequivalent atoms, fractional coordinates:
Na1 0.0000 0.0000 0.0000  2 P 2.50
Y1 0.5000 0.5000 0.0000  4 Na 3.42, 8 Al 3.47
Al1 0.0000 0.5000 0.5000  2 P 2.42
P1 0.0000 0.0000 0.5000  4 Al 2.42, 2 Na 2.50

Output
Mass density, g/cm3: 2.8
ΔE_f, meV/atom: 196.7

=====

Na3AlPb: relaxed, PBE.

Cell: 5.6273 5.6273 5.6273 Å, 90.00 90.00 90.00°
With the nearest neighbours (Å) after each atom.
Space group Pm-3m (No. 221)
Inequivalent atoms, fractional coordinates:
Na1 0.0000 0.0000 0.5000  2 Al 2.81
Al1 0.0000 0.0000 0.0000  6 Na 2.81
Pb1 0.5000 0.5000 0.5000  12 Na 3.98

Output
Mass density, g/cm3: 2.8
ΔE_f, meV/atom: 446.1

=====

NaAl2Pb2: relaxed, PBE.

Cell: 8.4033 8.4033 3.6784 Å, 90.00 90.00 90.00°
With the nearest neighbours (Å) after each atom.
Space group P4/mbm (No. 127)
Inequivalent atoms, fractional coordinates:
Na1 0.0000 0.0000 0.0000  4 Al 3.37, 8 Pb 3.60, 2 Na 3.68
Al1 0.1168 0.3832 0.0000  1 Al 2.78, 2 Pb 3.07
Pb1 0.1761 0.6761 0.5000  6 Al 3.07-3.11

Output
Mass density, g/cm3: 6.3
ΔE_f, meV/atom: 129.0

=====

NaAl2Pb2: relaxed, PBE.

Cell: 5.0269 5.0269 11.3302 Å, 90.00 90.00 90.00°
With the nearest neighbours (Å) after each atom.
Space group I4/mmm (No. 139)
Inequivalent atoms, fractional coordinates:
Na1 0.0000 0.0000 0.0000  8 Al 3.78, 8 Pb 3.79
Al1 0.0000 0.0000 0.3867  1 Al 2.57
Pb1 0.0000 0.5000 0.2500  4 Al 2.95

Output
Mass density, g/cm3: 5.7
ΔE_f, meV/atom: 106.2

=====

Na12AlPb6: relaxed, PBE.

Cell: 11.8237 11.8237 14.4314 Å, 90.00 90.00 120.00°
With the nearest neighbours (Å) after each atom.
Space group R-3m (No. 166, hexagonal axes)
Inequivalent atoms, fractional coordinates:
Na1 0.0952 0.1904 0.3041  3 Na 3.05-3.38, 3 Pb 3.31-3.36
Na2 0.1098 0.2195 0.9097  3 Na 3.21-3.44, 3 Pb 3.36-3.37
Al1 0.0000 0.0000 0.5000  6 Pb 3.08, 6 Na 3.43
Pb1 0.0416 0.5208 0.2177  1 Al 3.08, 6 Na 3.31-3.37, 2 Pb 3.33

Output
Mass density, g/cm3: 4.4
ΔE_f, meV/atom: -64.0

=====

Na2AlPb2: relaxed, PBE.

Cell: 7.5225 7.5225 5.2013 Å, 90.00 90.00 90.00°
With the nearest neighbours (Å) after each atom.
Space group P4/mbm (No. 127)
Inequivalent atoms, fractional coordinates:
Na1 0.1647 0.3353 0.0000  6 Pb 3.28-3.51, 1 Na 3.50
Al1 0.0000 0.0000 0.5000  4 Pb 2.88
Pb1 0.1474 0.6474 0.5000  2 Al 2.88, 1 Pb 3.14

Output
Mass density, g/cm3: 5.5
ΔE_f, meV/atom: 3.6

=====

Na2AlPb: relaxed, PBE.

Cell: 4.4798 4.4798 5.0768 Å, 90.00 90.00 90.00°
With the nearest neighbours (Å) after each atom.
Space group P4/mmm (No. 123)
Inequivalent atoms, fractional coordinates:
Na1 0.0000 0.5000 0.0000  4 Na 3.17, 4 Pb 3.39, 4 Al 3.39
Al1 0.0000 0.0000 0.5000  4 Pb 3.17, 8 Na 3.39
Pb1 0.5000 0.5000 0.5000  4 Al 3.17, 8 Na 3.39

Output
Mass density, g/cm3: 4.6
ΔE_f, meV/atom: 48.3

=====

Na2AlPb: relaxed, PBE.

Cell: 8.7327 8.7327 6.0345 Å, 90.00 90.00 90.00°
With the nearest neighbours (Å) after each atom.
Space group I-42d (No. 122)
Inequivalent atoms, fractional coordinates:
Na1 0.2383 0.2500 0.1250  2 Na 3.02, 2 Al 3.11, 2 Pb 3.25
Al1 0.0000 0.0000 0.0000  2 Pb 3.02, 4 Na 3.11
Pb1 0.0000 0.0000 0.5000  2 Al 3.02, 4 Na 3.25

Output
Mass density, g/cm3: 4.0
ΔE_f, meV/atom: 233.1

=====

Na3AlPb: relaxed, PBE.

Cell: 5.8800 5.8800 5.8800 Å, 90.00 90.00 90.00°
With the nearest neighbours (Å) after each atom.
Space group Pm-3m (No. 221)
Inequivalent atoms, fractional coordinates:
Na1 0.0000 0.0000 0.5000  2 Pb 2.94
Al1 0.5000 0.5000 0.5000  12 Na 4.16
Pb1 0.0000 0.0000 0.0000  6 Na 2.94

Output
Mass density, g/cm3: 2.5
ΔE_f, meV/atom: 457.5

=====

NaAl2Pb2: relaxed, PBE.

Cell: 4.1107 4.1107 16.3672 Å, 90.00 90.00 90.00°
With the nearest neighbours (Å) after each atom.
Space group I4/mmm (No. 139)
Inequivalent atoms, fractional coordinates:
Na1 0.0000 0.0000 0.0000  8 Pb 3.53
Al1 0.0000 0.5000 0.2500  4 Al 2.91, 4 Pb 2.93
Pb1 0.0000 0.0000 0.3780  4 Al 2.93

Output
Mass density, g/cm3: 5.9
ΔE_f, meV/atom: 59.5

=====

Na2AlPb: relaxed, PBE.

Cell: 3.3646 3.3646 35.0385 Å, 90.00 90.00 120.00°
With the nearest neighbours (Å) after each atom.
Space group R-3m (No. 166, hexagonal axes)
Inequivalent atoms, fractional coordinates:
Na1 0.0000 0.0000 0.0875  1 Al 3.07, 6 Na 3.36, 3 Pb 3.39
Al1 0.0000 0.0000 0.0000  2 Na 3.07, 6 Al 3.36
Pb1 0.0000 0.0000 0.5000  6 Pb 3.36, 6 Na 3.39

Output
Mass density, g/cm3: 4.1
ΔE_f, meV/atom: 222.4

=====

Na2AlPb: relaxed, PBE.

Cell: 7.4446 7.4446 7.4446 Å, 90.00 90.00 90.00°
With the nearest neighbours (Å) after each atom.
Space group Fm-3m (No. 225)
Inequivalent atoms, fractional coordinates:
Na1 0.2500 0.2500 0.2500  4 Al 3.22, 4 Pb 3.22
Al1 0.0000 0.0000 0.0000  8 Na 3.22
Pb1 0.0000 0.0000 0.5000  8 Na 3.22

Output
Mass density, g/cm3: 4.5
ΔE_f, meV/atom: 118.0